No. 1
A geometry-optimized Li3Sc structure. Source: the Alexandria database, functional PBE.

Properties
**Crystal system**: tetragonal

abc: 3.206 3.206 8.024
angles: 90.00 90.00 90.00
Element x y z (fractional)
1 Sc 0.500 0.500 0.750
2 Li 0.500 0.500 0.250
3 Li 0.000 0.000 0.023
4 Li 0.000 0.000 0.477

=====

No. 2
A geometry-optimized Li3ZnAu structure. Source: the Alexandria database, functional PBE.

Properties
**Crystal system**: cubic

abc: 4.608 4.608 4.608
angles: 90.00 90.00 90.00
Element x y z (fractional)
1 Zn 0.000 0.000 0.000
2 Li 0.500 0.000 0.000
3 Au 0.500 0.500 0.500
4 Li 0.000 0.000 0.500
5 Li 0.000 0.500 0.000

=====

Formation energy (eV per formula unit)
0.54, 0.81